KHoScTe3 | the Alexandria database | PBE | relaxed; total moment = 0.6 μB per cell; DFT total energy = -4.774 eV/atom
1.0
9.6102 0.0000 0.0000
0.0000 4.5499 0.0000
-3.1374 0.0000 10.1704
K Ho Sc Te
2 2 2 6
Direct
0.2025 0.2500 0.2308
0.7975 0.7500 0.7692
0.3385 0.7500 0.8647
0.6615 0.2500 0.1353
0.0842 0.2500 0.6073
0.9158 0.7500 0.3927
0.1159 0.2500 0.8754
0.2246 0.7500 0.5437
0.4562 0.7500 0.1624
0.5438 0.2500 0.8376
0.7754 0.2500 0.4563
0.8841 0.7500 0.1246